Record 1
VASP calculation (GGA-PBE) on a geometry-optimized ZnMoSeN2 structure.

```
5
Lattice="3.807 0.000 0.000 0.000 3.807 0.000 0.000 0.000 4.930" Properties=species:S:1:pos:R:3 pbc="T T T"
N 0.000 1.903 0.000
Zn 0.000 0.000 0.000
Se 0.000 0.000 2.465
Mo 1.903 1.903 2.465
N 1.903 0.000 0.000
```

Results
- E_form (uncorrected): 1.736 eV per atom
- Total magnetization: 0.00 μB per formula unit
- E: -23.56 eV for the cell shown
- Volume: 14.3 Å³/atom

***

Record 2
VASP calculation (GGA-PBE) on a geometry-optimized ZrMoSe2N structure.

```
5
Lattice="5.069 0.000 0.000 0.000 5.069 0.000 0.000 0.000 3.762" Properties=species:S:1:pos:R:3 pbc="T T T"
Se 2.534 0.000 0.000
N 0.000 0.000 1.881
Zr 2.534 2.534 1.881
Se 0.000 2.534 0.000
Mo 0.000 0.000 0.000
```

Results
- E_form (uncorrected): -0.031 eV per atom
- Total magnetization: 0.00 μB per formula unit
- E: -34.83 eV for the cell shown
- Volume: 19.3 Å³/atom

***

Record 3
VASP calculation (GGA-PBE) on a geometry-optimized ZrMoSe2N structure.

```
5
Lattice="-0.148 2.573 4.647 -3.892 -3.216 1.657 2.717 -2.524 1.484" Properties=species:S:1:pos:R:3 pbc="T T T"
Se -1.946 -1.608 0.828
N 1.359 -1.262 0.742
Se -0.074 1.286 2.324
Zr 0.000 0.000 0.000
Mo -0.662 -1.583 3.894
```

Results
- E_form (uncorrected): 0.403 eV per atom
- Total magnetization: 3.34 μB per formula unit
- E: -32.66 eV for the cell shown
- Volume: 22.6 Å³/atom

***

Record 4
VASP calculation (GGA-PBE) on a geometry-optimized SiMoN3 structure.

```
5
Lattice="-2.971 -1.934 0.067 0.083 -0.005 3.545 -1.934 2.972 0.049" Properties=species:S:1:pos:R:3 pbc="T T T"
N -1.485 -0.967 0.033
Mo -2.411 0.516 1.830
N -0.967 1.486 0.025
Si 0.000 0.000 0.000
N 0.041 -0.003 1.772
```

Results
- E_form (uncorrected): 0.482 eV per atom
- Total magnetization: 0.00 μB per formula unit
- E: -38.82 eV for the cell shown
- Volume: 8.9 Å³/atom

***

Record 5
VASP calculation (GGA-PBE) on a geometry-optimized SiMo2N2 structure.

```
10
Lattice="6.317 0.000 0.000 0.000 6.317 0.000 0.000 0.000 2.691" Properties=species:S:1:pos:R:3 pbc="T T T"
Mo 2.097 1.062 1.345
N 5.497 3.978 0.000
Mo 4.220 5.255 1.345
Mo 1.062 4.220 1.345
Si 3.158 3.158 0.000
N 0.819 2.339 0.000
N 2.339 5.497 0.000
Si 0.000 0.000 0.000
Mo 5.255 2.097 1.345
N 3.978 0.819 0.000
```

Results
- E_form (uncorrected): 0.369 eV per atom
- Total magnetization: 0.00 μB per formula unit
- E: -83.78 eV for the cell shown
- Volume: 10.7 Å³/atom

***

Record 6
VASP calculation (GGA-PBE) on a geometry-optimized Si3MoN structure.

```
5
Lattice="-2.525 -2.561 3.077 1.616 -3.980 -1.987 3.662 -0.009 2.998" Properties=species:S:1:pos:R:3 pbc="T T T"
Si 0.808 -1.990 -0.993
Si 1.831 -0.005 1.499
Si -1.263 -1.280 1.538
N 1.377 -3.275 2.044
Mo 0.000 0.000 0.000
```

Results
- E_form (uncorrected): 1.370 eV per atom
- Total magnetization: 2.96 μB per formula unit
- E: -28.58 eV for the cell shown
- Volume: 21.2 Å³/atom

***

Record 7
VASP calculation (GGA-PBE) on a geometry-optimized Si3MoN structure.

```
5
Lattice="3.965 0.000 0.000 0.000 3.965 0.000 0.000 0.000 3.965" Properties=species:S:1:pos:R:3 pbc="T T T"
Mo 1.983 1.983 1.983
Si 1.983 0.000 0.000
N 0.000 0.000 0.000
Si 0.000 0.000 1.983
Si 0.000 1.983 0.000
```

Results
- E_form (uncorrected): 0.512 eV per atom
- Total magnetization: 1.13 μB per formula unit
- E: -32.87 eV for the cell shown
- Volume: 12.5 Å³/atom

***

Record 8
VASP calculation (GGA-PBE) on a geometry-optimized SiMo2N2 structure.

```
5
Lattice="-3.426 2.096 -1.203 -2.389 -3.252 1.139 -3.203 0.737 3.101" Properties=species:S:1:pos:R:3 pbc="T T T"
Mo -4.250 -1.546 2.104
Mo -4.769 1.128 0.933
N -3.033 -0.023 1.291
N -5.986 -0.396 1.746
Si 0.000 0.000 0.000
```

Results
- E_form (uncorrected): 0.198 eV per atom
- Total magnetization: 0.00 μB per formula unit
- E: -42.75 eV for the cell shown
- Volume: 12.0 Å³/atom

***

Record 9
VASP calculation (GGA-PBE) on a geometry-optimized SiMoN3 structure.

```
5
Lattice="-3.302 1.105 -1.862 -1.343 -3.709 0.180 -1.699 0.784 3.478" Properties=species:S:1:pos:R:3 pbc="T T T"
N -0.672 -1.855 0.090
N -0.849 0.392 1.739
N -1.651 0.553 -0.931
Mo 0.000 0.000 0.000
Si -3.172 -0.910 0.898
```

Results
- E_form (uncorrected): 0.905 eV per atom
- Total magnetization: 0.00 μB per formula unit
- E: -36.71 eV for the cell shown
- Volume: 12.3 Å³/atom

***

Record 10
VASP calculation (GGA-PBE) on a geometry-optimized SiTc2MoN structure.

```
5
Lattice="-1.207 -1.088 3.603 3.530 -2.331 0.479 1.850 3.123 1.563" Properties=species:S:1:pos:R:3 pbc="T T T"
Tc -0.604 -0.544 1.801
N 0.000 0.000 0.000
Tc 0.925 1.561 0.781
Si 1.765 -1.166 0.239
Mo 2.086 -0.148 2.822
```

Results
- E_form (uncorrected): 0.319 eV per atom
- Total magnetization: 0.00 μB per formula unit
- E: -43.72 eV for the cell shown
- Volume: 13.3 Å³/atom

***

Record 11
VASP calculation (GGA-PBE) on a geometry-optimized Si2MoWN structure.

```
5
Lattice="-0.066 3.833 2.998 -0.396 -2.328 2.968 4.840 -0.261 0.441" Properties=species:S:1:pos:R:3 pbc="T T T"
Si -0.033 1.917 1.499
N -0.198 -1.164 1.484
Mo 2.189 0.622 3.203
W 0.000 0.000 0.000
Si 2.420 -0.131 0.220
```

Results
- E_form (uncorrected): 1.131 eV per atom
- Total magnetization: 2.92 μB per formula unit
- E: -37.30 eV for the cell shown
- Volume: 18.0 Å³/atom

***

Record 12
VASP calculation (GGA-PBE) on a geometry-optimized Zn2SiMoN structure.

```
5
Lattice="5.048 0.000 0.000 0.000 4.671 0.000 0.000 0.000 5.048" Properties=species:S:1:pos:R:3 pbc="T T T"
Mo 0.000 0.000 0.000
Zn 2.524 0.000 0.000
Si 0.000 2.336 0.000
N 2.524 2.336 2.524
Zn 0.000 0.000 2.524
```

Results
- E_form (uncorrected): 1.779 eV per atom
- Total magnetization: 3.01 μB per formula unit
- E: -18.23 eV for the cell shown
- Volume: 23.8 Å³/atom

***

Record 13
VASP calculation (GGA-PBE) on a geometry-optimized Sm3Mo2N6 structure.

```
11
Lattice="-1.555 3.664 -0.056 0.573 0.184 -3.935 -8.260 -5.661 0.546" Properties=species:S:1:pos:R:3 pbc="T T T"
Sm -6.102 -0.472 -2.924
N -3.981 0.433 -2.573
Mo -2.213 1.188 -2.280
N -1.209 -0.547 -2.215
N -5.262 -2.247 -0.871
N -6.969 -3.007 -3.169
Sm 0.000 0.000 0.000
Mo -7.029 -3.002 -1.164
Sm -3.141 -1.341 -0.520
N -2.273 1.193 -0.275
N -8.034 -1.267 -1.229
```

Results
- E_form (uncorrected): -1.008 eV per atom
- Total magnetization: 0.00 μB per formula unit
- E: -96.86 eV for the cell shown
- Volume: 13.9 Å³/atom

***

Record 14
VASP calculation (GGA-PBE) on a geometry-optimized SmMo2N6 structure.

```
9
Lattice="3.934 0.000 0.000 1.967 5.690 0.372 1.967 2.828 6.026" Properties=species:S:1:pos:R:3 pbc="T T T"
Mo 3.934 6.290 5.390
N 1.967 1.951 0.708
N 5.900 5.749 0.982
N 1.967 2.769 5.416
N 5.900 6.566 5.690
Mo 3.934 2.228 1.008
N 3.934 5.597 3.753
N 3.934 2.921 2.645
Sm 1.967 4.259 3.199
```

Results
- E_form (uncorrected): -0.306 eV per atom
- Total magnetization: 0.00 μB per formula unit
- E: -79.09 eV for the cell shown
- Volume: 14.5 Å³/atom

***

Record 15
VASP calculation (GGA-PBE) on a geometry-optimized Sm2MoN4 structure.

```
14
Lattice="-0.427 -5.550 -2.780 5.487 1.225 2.667 -4.607 -0.408 5.510" Properties=species:S:1:pos:R:3 pbc="T T T"
N 3.455 -3.294 0.524
N -0.595 -1.117 2.214
N 0.966 -4.334 -0.913
Sm -2.803 -4.620 2.347
N -0.514 -0.401 6.310
Sm 0.978 -2.723 0.953
N 1.725 -1.030 4.662
Sm -0.526 -2.012 4.444
N 1.047 -3.618 3.183
Mo 1.292 0.072 6.119
N -3.003 -1.440 4.873
N -1.272 -3.705 0.735
Mo -0.840 -4.806 -0.722
Sm 3.255 -0.114 3.050
```

Results
- E_form (uncorrected): -1.096 eV per atom
- Total magnetization: 0.00 μB per formula unit
- E: -122.48 eV for the cell shown
- Volume: 15.9 Å³/atom

***

Record 16
VASP calculation (GGA-PBE) on a geometry-optimized SmMoN2 structure.

```
4
Lattice="-2.519 -1.688 -0.765 0.582 -1.958 2.400 -2.232 4.911 2.478" Properties=species:S:1:pos:R:3 pbc="T T T"
Mo -2.459 1.552 2.967
Sm -0.659 -1.013 2.504
N -3.009 -0.065 1.788
N -3.314 3.318 2.545
```

Results
- E_form (uncorrected): -0.538 eV per atom
- Total magnetization: 0.00 μB per formula unit
- E: -34.35 eV for the cell shown
- Volume: 13.6 Å³/atom

***

Record 17
VASP calculation (GGA-PBE) on a geometry-optimized Sm3MoN4 structure.

```
16
Lattice="-4.337 1.221 2.464 -1.468 -6.587 0.679 3.843 -0.151 6.840" Properties=species:S:1:pos:R:3 pbc="T T T"
N 0.196 -2.004 1.917
Sm 1.433 -0.957 3.674
Mo -1.558 -4.829 5.270
N -1.543 -5.798 0.739
Sm -0.317 -4.361 2.292
N -0.612 -3.986 6.828
N 2.271 -2.085 5.609
Mo -0.375 -1.162 0.185
N -0.645 -0.121 4.861
N -2.380 -3.916 3.681
Sm -3.697 -4.940 1.968
Sm -1.957 -1.534 3.356
N -3.030 -0.451 1.692
N 0.139 -5.271 4.306
Sm -0.070 -1.608 6.715
Sm 1.639 -4.438 5.773
```

Results
- E_form (uncorrected): -1.036 eV per atom
- Total magnetization: 0.00 μB per formula unit
- E: -133.15 eV for the cell shown
- Volume: 17.1 Å³/atom

***

Record 18
VASP calculation (GGA-PBE) on a geometry-optimized SmMo2N4 structure.

```
14
Lattice="-1.072 -3.093 -0.447 4.178 0.755 -3.039 5.975 -3.146 7.432" Properties=species:S:1:pos:R:3 pbc="T T T"
N 7.074 -3.189 5.094
N 2.451 -3.119 3.492
N -0.536 -1.546 -0.224
Mo 3.502 -1.579 2.522
Sm 4.836 -4.100 4.551
N 1.999 -0.896 1.406
Mo 5.578 -3.905 1.423
N 2.006 -2.294 -1.148
N 3.729 -3.201 0.995
Mo 7.881 -5.117 4.288
N 5.351 -2.282 2.951
N 7.082 -4.587 2.540
Sm 4.244 -1.384 -0.606
Mo 1.199 -0.366 -0.342
```

Results
- E_form (uncorrected): -0.668 eV per atom
- Total magnetization: 0.00 μB per formula unit
- E: -128.72 eV for the cell shown
- Volume: 11.7 Å³/atom

***

Record 19
VASP calculation (GGA-PBE) on a geometry-optimized SmMoN2 structure.

```
16
Lattice="-3.087 -0.492 0.992 -0.693 -4.019 -4.149 3.395 -7.597 6.792" Properties=species:S:1:pos:R:3 pbc="T T T"
N 0.109 -6.709 5.139
Mo 0.567 -3.470 2.750
N -0.164 -3.352 0.538
N 0.440 -7.020 0.594
N -0.494 -5.399 -1.504
Sm 1.491 -10.317 2.228
Sm -1.875 -1.791 1.408
Sm -1.513 -5.387 0.751
Sm 1.128 -6.722 2.884
Mo -0.951 -8.638 0.885
N -0.824 -5.089 3.041
N -0.221 -8.756 3.098
Mo 0.462 -9.015 5.094
N 2.415 -8.654 5.927
Mo -0.847 -3.093 -1.459
N -2.799 -3.454 -2.292
```

Results
- E_form (uncorrected): -1.024 eV per atom
- Total magnetization: 0.00 μB per formula unit
- E: -145.20 eV for the cell shown
- Volume: 12.8 Å³/atom

***

Record 20
VASP calculation (GGA-PBE) on a geometry-optimized Sm2Mo2N7 structure.

```
11
Lattice="6.227 -0.266 0.704 -0.310 3.753 0.294 0.315 0.260 6.259" Properties=species:S:1:pos:R:3 pbc="T T T"
Sm 1.707 1.875 2.129
N 4.114 1.856 2.691
N 0.384 3.455 3.509
N 0.000 0.000 0.000
N 2.118 1.891 4.566
Sm 4.525 1.872 5.128
N 3.166 0.294 0.893
N 5.848 0.291 3.748
Mo 1.376 3.878 5.265
Mo 4.856 -0.132 1.992
N 3.066 3.453 6.364
```

Results
- E_form (uncorrected): -0.523 eV per atom
- Total magnetization: 0.00 μB per formula unit
- E: -95.13 eV for the cell shown
- Volume: 13.1 Å³/atom

***

Record 21
VASP calculation (GGA-PBE) on a geometry-optimized Sm3Mo5N12 structure.

```
80
Lattice="11.179 0.000 0.000 -3.726 10.539 0.000 -3.726 -5.270 9.127" Properties=species:S:1:pos:R:3 pbc="T T T"
Mo -3.726 2.635 4.564
N 2.352 1.503 2.905
N -1.374 -0.632 4.412
Mo -0.932 2.635 2.282
N 1.231 1.478 8.371
N 4.957 5.186 1.658
N 2.847 4.288 3.807
Sm 6.521 3.294 1.141
N -2.001 2.202 5.617
Mo -0.932 0.659 5.705
N -0.489 0.870 1.810
N -2.743 9.058 1.053
Mo 4.658 2.635 6.845
N 1.374 3.767 6.222
N 2.496 3.791 0.757
Mo 0.932 3.294 7.986
Mo -0.932 8.563 1.141
N -0.880 3.788 8.074
Sm 2.795 5.928 5.705
Sm 6.521 7.246 1.141
Mo 0.000 0.000 0.000
Mo -1.863 5.270 0.000
N 6.469 -3.788 8.074
Sm -0.932 4.611 5.705
Mo 4.658 4.611 3.423
N 7.314 1.129 0.151
N 6.079 -0.870 1.810
N 0.489 6.772 6.222
N 0.138 3.330 3.662
N -0.633 3.875 0.902
Sm 0.932 5.270 2.282
N 6.963 0.632 4.412
Sm -4.658 5.270 6.845
N -1.231 0.084 7.469
N 4.606 1.482 1.053
N 3.588 1.939 5.465
N 4.215 4.400 7.318
N 4.710 -0.982 5.320
N -0.983 6.252 3.807
N -0.633 6.748 0.757
N 3.237 -1.503 2.905
N 5.728 9.411 0.151
Mo 4.658 -3.294 7.986
N 1.725 7.209 3.662
Sm -2.795 1.976 7.986
Sm 2.795 0.000 6.845
Mo 2.795 1.976 1.141
N 7.591 -2.202 5.617
N -3.237 4.637 4.715
N 4.359 -1.478 8.371
N 0.880 0.982 5.320
N 8.436 2.464 2.754
N -0.880 -2.806 6.373
N 2.496 6.664 0.902
Mo 5.589 0.000 0.000
Mo -2.795 5.928 3.423
Mo 3.726 -2.635 4.564
N 5.100 5.902 4.715
N -3.865 7.471 3.511
N -2.352 6.140 7.318
Sm 0.932 -0.659 3.423
Sm 8.384 0.000 2.282
N -4.710 2.806 6.373
N -2.001 -4.141 8.976
N 8.085 5.353 1.658
N -3.588 4.141 8.976
N 4.359 1.394 8.225
Mo 6.521 -0.659 5.705
N 2.001 -1.939 5.465
N 5.728 3.068 3.511
Sm -2.795 -1.976 7.986
Mo 2.795 7.904 2.282
N -4.359 -0.084 7.469
N 4.606 8.076 2.754
Mo 1.863 2.635 4.564
Mo 3.726 5.270 0.000
Sm 4.658 0.659 3.423
Mo 0.932 -2.635 6.845
N 1.231 -1.394 8.225
Mo -1.863 -2.635 4.564
```

Results
- E_form (uncorrected): -0.685 eV per atom
- Total magnetization: 0.00 μB per formula unit
- E: -727.68 eV for the cell shown
- Volume: 13.4 Å³/atom